1.
{"formula": "BaMgNiPb", "functional": "GGA-PBE", "state": "relaxed", "final_energy_ev_per_atom": -3.019, "magnetic_moment_mub_per_cell": 0.02, "polymorph_energy_ev_per_atom": 0.090, "lattice": [[0.000, 3.715, 3.715], [3.715, 0.000, 3.715], [3.715, 3.715, 0.000]], "species": ["Ba", "Mg", "Ni", "Pb"], "frac_coords": [[0.000, 0.000, 0.000], [0.250, 0.250, 0.250], [0.500, 0.500, 0.500], [0.750, 0.750, 0.750]]}

2.
{"formula": "Dy2Y", "functional": "GGA-PBE", "state": "relaxed", "final_energy_ev_per_atom": -2.341, "magnetic_moment_mub_per_cell": 10.00, "polymorph_energy_ev_per_atom": 2.648, "formation_energy_mev_per_atom": 2882, "lattice": [[0.000, 7.045, 7.045], [7.045, 0.000, 7.045], [7.045, 7.045, 0.000]], "species": ["Dy", "Dy", "Dy", "Dy", "Y", "Y"], "frac_coords": [[0.000, 0.000, 0.000], [0.000, 0.000, 0.500], [0.000, 0.500, 0.000], [0.500, 0.000, 0.000], [0.125, 0.125, 0.125], [0.875, 0.875, 0.875]]}

3.
{"formula": "DyH3", "functional": "GGA-PBE", "state": "relaxed", "final_energy_ev_per_atom": -4.283, "magnetic_moment_mub_per_cell": 0.00, "lattice": [[1.812, -3.149, 0.000], [1.812, 3.149, 0.000], [0.000, 0.000, 6.523]], "species": ["Dy", "Dy", "H", "H", "H", "H", "H", "H"], "frac_coords": [[0.167, 0.833, 0.750], [0.833, 0.167, 0.250], [0.166, 0.834, 0.094], [0.166, 0.834, 0.406], [0.500, 0.500, 0.250], [0.500, 0.500, 0.750], [0.834, 0.166, 0.594], [0.834, 0.166, 0.906]]}

4.
{"formula": "NdDyAg2Sb4", "functional": "GGA-PBE", "state": "relaxed", "final_energy_ev_per_atom": -4.589, "magnetic_moment_mub_per_cell": 0.00, "lattice": [[4.373, 0.000, 0.000], [0.000, 4.373, 0.000], [0.000, 0.000, 10.547]], "species": ["Nd", "Dy", "Ag", "Ag", "Sb", "Sb", "Sb", "Sb"], "frac_coords": [[0.000, 0.000, 0.000], [0.500, 0.500, 0.474], [0.000, 0.500, 0.732], [0.500, 0.000, 0.732], [0.000, 0.000, 0.550], [0.000, 0.500, 0.241], [0.500, 0.000, 0.241], [0.500, 0.500, 0.914]]}

5.
{"formula": "ZnRePb2O6", "functional": "GGA-PBE", "state": "relaxed", "final_energy_ev_per_atom": -6.361, "magnetic_moment_mub_per_cell": 0.72, "polymorph_energy_ev_per_atom": 0.023, "lattice": [[0.000, 3.989, 3.989], [3.989, 0.000, 3.989], [3.989, 3.989, 0.000]], "species": ["Zn", "Re", "Pb", "Pb", "O", "O", "O", "O", "O", "O"], "frac_coords": [[0.000, 0.000, 0.000], [0.500, 0.500, 0.500], [0.250, 0.250, 0.250], [0.750, 0.750, 0.750], [0.259, 0.259, 0.741], [0.259, 0.741, 0.259], [0.259, 0.741, 0.741], [0.741, 0.259, 0.259], [0.741, 0.259, 0.741], [0.741, 0.741, 0.259]]}

6.
{"formula": "Ho2TmAl3CuSi2", "functional": "GGA-PBE", "state": "relaxed", "final_energy_ev_per_atom": -5.014, "magnetic_moment_mub_per_cell": 0.00, "lattice": [[4.142, 0.000, 0.000], [0.000, 5.950, 3.440], [0.000, -5.950, 3.440]], "species": ["Ho", "Ho", "Tm", "Al", "Al", "Al", "Cu", "Si", "Si"], "frac_coords": [[0.000, 0.203, 0.797], [0.000, 0.797, 0.203], [0.000, 0.610, 0.610], [0.500, 0.204, 0.442], [0.500, 0.442, 0.204], [0.500, 0.965, 0.965], [0.000, 0.206, 0.206], [0.500, 0.537, 0.869], [0.500, 0.869, 0.537]]}